This record from Alexandria via LeMat-Bulk describes crystalline ThAl2Rh2 at its relaxed geometry. The functional is PBE.

Lattice parameters (Å, degrees): 10.771 10.771 10.771 157.26 157.26 32.37
Element x y z (fractional)
Th (0.130, 0.130, 0.000)
Th (0.870, 0.870, 0.000)
Al (0.000, 0.500, 0.500)
Al (0.311, 0.311, 0.000)
Al (0.500, 0.000, 0.500)
Al (0.689, 0.689, 0.000)
Rh (0.250, 0.750, 0.500)
Rh (0.430, 0.430, 0.000)
Rh (0.570, 0.570, 0.000)
Rh (0.750, 0.250, 0.500)

Values from the calculation:
density of states at the Fermi level	4.26	states/eV/f.u.
ΔE_f	-899.1	meV/atom
calculated density	8.76	g cm⁻³
total magnetic moment	0.00	μB/cell